Here is a relaxed structure of Ho3Ni from OQMD. Energies are from PBE.

Values from the calculation:
- Size of the total moment: 0.0 μB/f.u.
- Calculated density: 9.4 g/cm³
- Energy: -4.780 eV/atom

a = 6.8590 Å, b = 6.8590 Å, c = 4.7879 Å
α = 90.00°, β = 90.00°, γ = 120.00°
With the nearest neighbours (Å) after each atom.
Sites, in units of the cell vectors:
Ho: 0.1802 0.3604 0.2500  2 Ni 3.01, 6 Ho 3.15-3.21
Ho: 0.1802 0.8198 0.2500  2 Ni 3.01, 6 Ho 3.15-3.21
Ho: 0.3604 0.1802 0.7500  2 Ni 3.01, 6 Ho 3.15-3.21
Ho: 0.6396 0.8198 0.2500  2 Ni 3.01, 6 Ho 3.15-3.21
Ho: 0.8198 0.1802 0.7500  2 Ni 3.01, 6 Ho 3.15-3.21
Ho: 0.8198 0.6396 0.7500  2 Ni 3.01, 6 Ho 3.15-3.21
Ni: 0.3333 0.6667 0.7500  6 Ho 3.01
Ni: 0.6667 0.3333 0.2500  6 Ho 3.01